Entry 1:
The following is a PBE calculation of a geometry-optimized Pu2HfNbN4 structure, from Alexandria.

Output
E_tot ... -11.630 eV/atom
DOS(E_F) ... 11.45 states/eV/f.u.
Raw formation energy ... -1.3816 eV/atom

a = 5.7119 Å, b = 3.3033 Å, c = 5.7795 Å
α = 90.00°, β = 109.21°, γ = 90.00°
Space group P2/m (No. 10)
Inequivalent atoms, fractional coordinates:
Pu 0.0000 0.0000 0.0000 x1
Pu 0.5000 0.5000 0.0000 x1
Hf 0.0000 0.5000 0.5000 x1
Nb 0.5000 0.0000 0.5000 x1
N 0.2415 0.0000 0.7230 x2
N 0.2568 0.5000 0.2744 x2

=====

Entry 2:
The following is a PBE calculation of a geometry-optimized RbHfNbN2 structure, from Alexandria.

Output
E_tot ... -4.412 eV/atom
DOS(E_F) ... 4.67 states/eV/f.u.
Raw formation energy ... 3.1161 eV/atom

a = 4.3272 Å, b = 4.3272 Å, c = 5.2201 Å
α = 90.00°, β = 90.00°, γ = 90.00°
Space group P4/mmm (No. 123)
Inequivalent atoms, fractional coordinates:
Rb 0.0000 0.0000 0.0000 x1
Hf 0.0000 0.0000 0.5000 x1
Nb 0.5000 0.5000 0.5000 x1
N 0.0000 0.5000 0.0000 x2

=====

Entry 3:
The following is a PBE calculation of a geometry-optimized HfNb2RhN structure, from Alexandria.

Output
E_tot ... -9.858 eV/atom
DOS(E_F) ... 3.63 states/eV/f.u.
Raw formation energy ... -0.7040 eV/atom

a = 4.2053 Å, b = 4.2053 Å, c = 4.4411 Å
α = 90.00°, β = 90.00°, γ = 90.00°
Space group P4/mmm (No. 123)
Inequivalent atoms, fractional coordinates:
Hf 0.0000 0.0000 0.0000 x1
Nb 0.0000 0.5000 0.5000 x2
Rh 0.5000 0.5000 0.0000 x1
N 0.0000 0.0000 0.5000 x1

=====

Entry 4:
The following is a PBE calculation of a geometry-optimized Hf2NbRhN structure, from Alexandria.

Output
E_tot ... -9.972 eV/atom
DOS(E_F) ... 4.19 states/eV/f.u.
Raw formation energy ... -0.8409 eV/atom

a = 4.3974 Å, b = 4.3974 Å, c = 4.1892 Å
α = 90.00°, β = 90.00°, γ = 90.00°
Space group P4/mmm (No. 123)
Inequivalent atoms, fractional coordinates:
Hf 0.0000 0.5000 0.0000 x2
Nb 0.0000 0.0000 0.5000 x1
Rh 0.5000 0.5000 0.5000 x1
N 0.0000 0.0000 0.0000 x1

=====

Entry 5:
The following is a PBE calculation of a geometry-optimized HfNbS2N structure, from Alexandria.

Output
E_tot ... -7.316 eV/atom
DOS(E_F) ... 4.29 states/eV/f.u.
Raw formation energy ... 0.0048 eV/atom
Excess energy over the best structure of this formula in the dataset ... 163.0 meV/atom

a = 4.9444 Å, b = 4.9444 Å, c = 3.9860 Å
α = 90.00°, β = 90.00°, γ = 90.00°
Space group P4/mmm (No. 123)
Inequivalent atoms, fractional coordinates:
Hf 0.0000 0.0000 0.0000 x1
Nb 0.5000 0.5000 0.5000 x1
S 0.0000 0.5000 0.0000 x2
N 0.0000 0.0000 0.5000 x1

=====

Entry 6:
The following is a PBE calculation of a geometry-optimized HfNbSN2 structure, from Alexandria.

Output
E_tot ... -8.196 eV/atom
DOS(E_F) ... 3.00 states/eV/f.u.
Raw formation energy ... -0.0354 eV/atom
Excess energy over the best structure of this formula in the dataset ... 0.0 meV/atom

a = 3.9973 Å, b = 3.9973 Å, c = 4.8251 Å
α = 90.00°, β = 90.00°, γ = 90.00°
Space group P4/mmm (No. 123)
Inequivalent atoms, fractional coordinates:
Hf 0.0000 0.0000 0.0000 x1
Nb 0.5000 0.5000 0.5000 x1
S 0.5000 0.5000 0.0000 x1
N 0.0000 0.5000 0.5000 x2

=====

Entry 7:
The following is a PBE calculation of a geometry-optimized HfNbS2N structure, from Alexandria.

Output
E_tot ... -7.479 eV/atom
DOS(E_F) ... 2.52 states/eV/f.u.
Raw formation energy ... -0.1581 eV/atom
Excess energy over the best structure of this formula in the dataset ... 0.0 meV/atom

a = 4.8580 Å, b = 4.8580 Å, c = 3.8543 Å
α = 90.00°, β = 90.00°, γ = 90.00°
Space group P4/mmm (No. 123)
Inequivalent atoms, fractional coordinates:
Hf 0.0000 0.0000 0.0000 x1
Nb 0.5000 0.5000 0.5000 x1
S 0.0000 0.5000 0.5000 x2
N 0.5000 0.5000 0.0000 x1

=====

Entry 8:
The following is a PBE calculation of a geometry-optimized HfNbSN2 structure, from Alexandria.

Output
E_tot ... -7.910 eV/atom
DOS(E_F) ... 4.57 states/eV/f.u.
Raw formation energy ... 0.2508 eV/atom
Excess energy over the best structure of this formula in the dataset ... 286.2 meV/atom

a = 4.0933 Å, b = 4.0933 Å, c = 4.9474 Å
α = 90.00°, β = 90.00°, γ = 90.00°
Space group P4/mmm (No. 123)
Inequivalent atoms, fractional coordinates:
Hf 0.0000 0.0000 0.0000 x1
Nb 0.5000 0.5000 0.5000 x1
S 0.0000 0.0000 0.5000 x1
N 0.0000 0.5000 0.0000 x2

=====

Entry 9:
The following is a PBE calculation of a geometry-optimized Hf3Sc2NbN6 structure, from Alexandria.

Output
E_tot ... -10.292 eV/atom
DOS(E_F) ... 3.69 states/eV/f.u.
Raw formation energy ... -1.7461 eV/atom

a = 5.5300 Å, b = 9.5958 Å, c = 5.5110 Å
α = 90.00°, β = 109.56°, γ = 90.00°
Space group C2/m (No. 12)
Inequivalent atoms, fractional coordinates:
Hf 0.0000 0.0000 0.0000 x2
Hf 0.0000 0.3327 0.0000 x4
Sc 0.0000 0.1669 0.5000 x4
Nb 0.0000 0.5000 0.5000 x2
N 0.2454 0.1698 0.2454 x8
N 0.2475 0.0000 0.7602 x4

=====

Entry 10:
The following is a PBE calculation of a geometry-optimized HfSc2NbN4 structure, from Alexandria.

Output
E_tot ... -9.954 eV/atom
DOS(E_F) ... 2.14 states/eV/f.u.
Raw formation energy ... -1.7058 eV/atom

a = 5.4966 Å, b = 3.1621 Å, c = 5.5326 Å
α = 90.00°, β = 109.29°, γ = 90.00°
Space group P2/m (No. 10)
Inequivalent atoms, fractional coordinates:
Hf 0.0000 0.0000 0.0000 x1
Sc 0.0000 0.5000 0.5000 x1
Sc 0.5000 0.0000 0.5000 x1
Nb 0.5000 0.5000 0.0000 x1
N 0.2463 0.5000 0.2475 x2
N 0.2490 0.0000 0.7514 x2

=====

Entry 11:
The following is a PBE calculation of a geometry-optimized HfSc2NbN structure, from Alexandria.

Output
E_tot ... -8.807 eV/atom
DOS(E_F) ... 6.67 states/eV/f.u.
Raw formation energy ... -0.6049 eV/atom

a = 4.4251 Å, b = 4.4251 Å, c = 4.4927 Å
α = 90.00°, β = 90.00°, γ = 90.00°
Space group P4/mmm (No. 123)
Inequivalent atoms, fractional coordinates:
Hf 0.0000 0.0000 0.0000 x1
Sc 0.0000 0.5000 0.5000 x2
Nb 0.5000 0.5000 0.0000 x1
N 0.0000 0.0000 0.5000 x1

=====

Entry 12:
The following is a PBE calculation of a geometry-optimized Hf2Sc3NbN6 structure, from Alexandria.

Output
E_tot ... -10.020 eV/atom
DOS(E_F) ... 4.28 states/eV/f.u.
Raw formation energy ... -1.7767 eV/atom

a = 5.5055 Å, b = 9.5383 Å, c = 5.5436 Å
α = 90.00°, β = 109.47°, γ = 90.00°
Space group C2/m (No. 12)
Inequivalent atoms, fractional coordinates:
Hf 0.0000 0.1669 0.0000 x4
Sc 0.0000 0.0000 0.5000 x2
Sc 0.0000 0.3340 0.5000 x4
Nb 0.0000 0.5000 0.0000 x2
N 0.2439 0.0000 0.2494 x4
N 0.2487 0.1692 0.7536 x8

=====

Entry 13:
The following is a PBE calculation of a geometry-optimized Hf3Sc3NbN8 structure, from Alexandria.

Output
E_tot ... -10.035 eV/atom
DOS(E_F) ... 1.97 states/eV/f.u.
Raw formation energy ... -1.6666 eV/atom

a = 6.3555 Å, b = 6.3555 Å, c = 15.6157 Å
α = 90.00°, β = 90.00°, γ = 120.00°
Space group R-3m (No. 166, hexagonal axes)
Inequivalent atoms, fractional coordinates:
Hf 0.0000 0.5000 0.0000 x9
Sc 0.0000 0.5000 0.5000 x9
Nb 0.0000 0.0000 0.0000 x3
N 0.0000 0.0000 0.2516 x6
N 0.0126 0.5063 0.7441 x18

=====

Entry 14:
The following is a PBE calculation of a geometry-optimized Hf4Sc3NbN8 structure, from Alexandria.

Output
E_tot ... -10.245 eV/atom
DOS(E_F) ... 6.05 states/eV/f.u.
Raw formation energy ... -1.7772 eV/atom

a = 6.3965 Å, b = 6.3965 Å, c = 15.5977 Å
α = 90.00°, β = 90.00°, γ = 120.00°
Space group R-3m (No. 166, hexagonal axes)
Inequivalent atoms, fractional coordinates:
Hf 0.0000 0.0000 0.0000 x3
Hf 0.0000 0.5000 0.0000 x9
Sc 0.0000 0.5000 0.5000 x9
Nb 0.0000 0.0000 0.5000 x3
N 0.0000 0.0000 0.2519 x6
N 0.0038 0.5019 0.7479 x18

=====

Entry 15:
The following is a PBE calculation of a geometry-optimized Hf3Sc4NbN8 structure, from Alexandria.

Output
E_tot ... -10.052 eV/atom
DOS(E_F) ... 4.12 states/eV/f.u.
Raw formation energy ... -1.8108 eV/atom

a = 6.3697 Å, b = 6.3697 Å, c = 15.6669 Å
α = 90.00°, β = 90.00°, γ = 120.00°
Space group R-3m (No. 166, hexagonal axes)
Inequivalent atoms, fractional coordinates:
Hf 0.0000 0.5000 0.0000 x9
Sc 0.0000 0.0000 0.5000 x3
Sc 0.0000 0.5000 0.5000 x9
Nb 0.0000 0.0000 0.0000 x3
N 0.0000 0.0000 0.2519 x6
N 0.0027 0.5013 0.2510 x18

=====

Entry 16:
The following is a PBE calculation of a geometry-optimized HfNbSe2N structure, from Alexandria.

Output
E_tot ... -6.959 eV/atom
DOS(E_F) ... 4.28 states/eV/f.u.
Raw formation energy ... 0.1050 eV/atom
Excess energy over the best structure of this formula in the dataset ... 143.3 meV/atom

a = 5.2344 Å, b = 5.2344 Å, c = 3.9440 Å
α = 90.00°, β = 90.00°, γ = 90.00°
Space group P4/mmm (No. 123)
Inequivalent atoms, fractional coordinates:
Hf 0.0000 0.0000 0.0000 x1
Nb 0.5000 0.5000 0.5000 x1
Se 0.0000 0.5000 0.0000 x2
N 0.0000 0.0000 0.5000 x1

=====

Entry 17:
The following is a PBE calculation of a geometry-optimized HfNbSeN2 structure, from Alexandria.

Output
E_tot ... -7.922 eV/atom
DOS(E_F) ... 3.38 states/eV/f.u.
Raw formation energy ... 0.1099 eV/atom
Excess energy over the best structure of this formula in the dataset ... 0.0 meV/atom

a = 4.0241 Å, b = 4.0241 Å, c = 5.0943 Å
α = 90.00°, β = 90.00°, γ = 90.00°
Space group P4/mmm (No. 123)
Inequivalent atoms, fractional coordinates:
Hf 0.0000 0.0000 0.0000 x1
Nb 0.5000 0.5000 0.5000 x1
Se 0.5000 0.5000 0.0000 x1
N 0.0000 0.5000 0.5000 x2

=====

Entry 18:
The following is a PBE calculation of a geometry-optimized HfNbSeN2 structure, from Alexandria.

Output
E_tot ... -7.625 eV/atom
DOS(E_F) ... 6.71 states/eV/f.u.
Raw formation energy ... 0.4071 eV/atom
Excess energy over the best structure of this formula in the dataset ... 297.2 meV/atom

a = 4.0744 Å, b = 4.0744 Å, c = 5.2157 Å
α = 90.00°, β = 90.00°, γ = 90.00°
Space group P4/mmm (No. 123)
Inequivalent atoms, fractional coordinates:
Hf 0.0000 0.0000 0.0000 x1
Nb 0.5000 0.5000 0.5000 x1
Se 0.0000 0.0000 0.5000 x1
N 0.0000 0.5000 0.0000 x2

=====

Entry 19:
The following is a PBE calculation of a geometry-optimized HfNbSe2N structure, from Alexandria.

Output
E_tot ... -7.102 eV/atom
DOS(E_F) ... 3.19 states/eV/f.u.
Raw formation energy ... -0.0383 eV/atom
Excess energy over the best structure of this formula in the dataset ... 0.0 meV/atom

a = 5.1364 Å, b = 5.1364 Å, c = 3.8457 Å
α = 90.00°, β = 90.00°, γ = 90.00°
Space group P4/mmm (No. 123)
Inequivalent atoms, fractional coordinates:
Hf 0.0000 0.0000 0.0000 x1
Nb 0.5000 0.5000 0.5000 x1
Se 0.0000 0.5000 0.5000 x2
N 0.5000 0.5000 0.0000 x1

=====

Entry 20:
The following is a PBE calculation of a geometry-optimized Hf2NbSnN structure, from Alexandria.

Output
E_tot ... -9.092 eV/atom
DOS(E_F) ... 6.20 states/eV/f.u.
Raw formation energy ... -0.6313 eV/atom

a = 4.5654 Å, b = 4.5654 Å, c = 4.1822 Å
α = 90.00°, β = 90.00°, γ = 90.00°
Space group P4/mmm (No. 123)
Inequivalent atoms, fractional coordinates:
Hf 0.0000 0.5000 0.0000 x2
Nb 0.0000 0.0000 0.5000 x1
Sn 0.5000 0.5000 0.5000 x1
N 0.0000 0.0000 0.0000 x1